A plane-wave DFT calculation with GGA-PBE was carried out for a relaxed NdSm4As5 crystal.

Its density is 6970 kg/m³. The formation energy comes out at -147.1 kJ/mol of atoms. The value obtained for the density of states at the Fermi level is 1.65 states/eV/cell.

```
NdSm4As5
1.0
-2.554 -3.365 -0.200
3.561 -2.458 -4.119
5.086 -1.784 9.794
As Nd Sm
5 1 4
Direct
0.200 0.700 0.400
0.399 0.899 0.797
0.800 0.300 0.600
0.000 0.500 0.000
0.601 0.101 0.203
0.000 0.000 0.000
0.799 0.799 0.599
0.400 0.400 0.800
0.201 0.201 0.401
0.600 0.600 0.200
```